[1]
CaCoH4 | PBE-GGA | relaxed

Geometry as CIF:
```
data_CaCoH4
_chemical_formula_sum 'Ca2 Co2 H8'
_cell_length_a 5.1429
_cell_length_b 5.1429
_cell_length_c 4.9375
_cell_angle_alpha 95.94
_cell_angle_beta 95.94
_cell_angle_gamma 121.45
_symmetry_space_group_name_H-M 'P 1'
_symmetry_Int_Tables_number 1
_symmetry_space_group_name_Hall 'P 1'
loop_
_atom_site_label
_atom_site_type_symbol
_atom_site_fract_x
_atom_site_fract_y
_atom_site_fract_z
Ca1 Ca 0.1453 0.8547 0.7500
Ca2 Ca 0.8547 0.1453 0.2500
Co1 Co 0.4590 0.5410 0.7500
Co2 Co 0.5410 0.4590 0.2500
H1 H 0.1165 0.2642 0.6926
H2 H 0.2642 0.1165 0.1926
H3 H 0.3794 0.6151 0.0402
H4 H 0.3849 0.6206 0.4598
H5 H 0.6151 0.3794 0.5402
H6 H 0.6206 0.3849 0.9598
H7 H 0.7358 0.8835 0.8074
H8 H 0.8835 0.7358 0.3074
```

Results
Raw total energy ... -4.07 eV per atom
Crystal system ... monoclinic
SG ... C2/c (15)
D(E_F) ... 0.74 states/eV per cell

=====

[2]
Ca2CoH2 | PBE-GGA | relaxed

Geometry as CIF:
```
data_Ca2CoH2
_chemical_formula_sum 'Ca4 Co2 H4'
_cell_length_a 6.7615
_cell_length_b 6.7615
_cell_length_c 3.1680
_cell_angle_alpha 90.00
_cell_angle_beta 90.00
_cell_angle_gamma 90.00
_symmetry_space_group_name_H-M 'P 1'
_symmetry_Int_Tables_number 1
_symmetry_space_group_name_Hall 'P 1'
loop_
_atom_site_label
_atom_site_type_symbol
_atom_site_fract_x
_atom_site_fract_y
_atom_site_fract_z
Ca1 Ca 0.1792 0.3208 0.0000
Ca2 Ca 0.3208 0.8208 0.0000
Ca3 Ca 0.6792 0.1792 0.0000
Ca4 Ca 0.8208 0.6792 0.0000
Co1 Co 0.0000 0.0000 0.5000
Co2 Co 0.5000 0.5000 0.5000
H1 H 0.1314 0.6314 0.5000
H2 H 0.3686 0.1314 0.5000
H3 H 0.6314 0.8686 0.5000
H4 H 0.8686 0.3686 0.5000
```

Results
Raw total energy ... -3.52 eV per atom
E above lowest polymorph ... 241 meV per atom
Crystal system ... tetragonal
SG ... P4/mbm (127)
D(E_F) ... 5.52 states/eV per cell

=====

[3]
CaCo2H | PBE-GGA | relaxed

Geometry as CIF:
```
data_CaCo2H
_chemical_formula_sum 'Ca2 Co4 H2'
_cell_length_a 5.2786
_cell_length_b 5.2786
_cell_length_c 5.2786
_cell_angle_alpha 60.00
_cell_angle_beta 60.00
_cell_angle_gamma 60.00
_symmetry_space_group_name_H-M 'P 1'
_symmetry_Int_Tables_number 1
_symmetry_space_group_name_Hall 'P 1'
loop_
_atom_site_label
_atom_site_type_symbol
_atom_site_fract_x
_atom_site_fract_y
_atom_site_fract_z
Ca1 Ca 0.1250 0.1250 0.1250
Ca2 Ca 0.8750 0.8750 0.8750
Co1 Co 0.0000 0.5000 0.5000
Co2 Co 0.5000 0.0000 0.5000
Co3 Co 0.5000 0.5000 0.0000
Co4 Co 0.5000 0.5000 0.5000
H1 H 0.3750 0.3750 0.3750
H2 H 0.6250 0.6250 0.6250
```

Results
Raw total energy ... -4.86 eV per atom
E above lowest polymorph ... 0 meV per atom
Crystal system ... cubic
SG ... Fd-3m (227)
D(E_F) ... 6.40 states/eV per cell

=====

[4]
CaCo2H | PBE-GGA | relaxed

Geometry as CIF:
```
data_CaCo2H
_chemical_formula_sum 'Ca4 Co8 H4'
_cell_length_a 6.0179
_cell_length_b 6.0179
_cell_length_c 6.0179
_cell_angle_alpha 90.00
_cell_angle_beta 90.00
_cell_angle_gamma 90.00
_symmetry_space_group_name_H-M 'P 1'
_symmetry_Int_Tables_number 1
_symmetry_space_group_name_Hall 'P 1'
loop_
_atom_site_label
_atom_site_type_symbol
_atom_site_fract_x
_atom_site_fract_y
_atom_site_fract_z
Ca1 Ca 0.0000 0.0000 0.0000
Ca2 Ca 0.0000 0.5000 0.5000
Ca3 Ca 0.5000 0.0000 0.5000
Ca4 Ca 0.5000 0.5000 0.0000
Co1 Co 0.2500 0.2500 0.2500
Co2 Co 0.2500 0.2500 0.7500
Co3 Co 0.2500 0.7500 0.2500
Co4 Co 0.2500 0.7500 0.7500
Co5 Co 0.7500 0.2500 0.2500
Co6 Co 0.7500 0.2500 0.7500
Co7 Co 0.7500 0.7500 0.2500
Co8 Co 0.7500 0.7500 0.7500
H1 H 0.0000 0.0000 0.5000
H2 H 0.0000 0.5000 0.0000
H3 H 0.5000 0.0000 0.0000
H4 H 0.5000 0.5000 0.5000
```

Results
Raw total energy ... -3.71 eV per atom
E above lowest polymorph ... 1148 meV per atom
Crystal system ... cubic
SG ... Fm-3m (225)
D(E_F) ... 40.06 states/eV per cell